# EuSc2Fe

A geometry-optimized EuSc2Fe structure (PBE, Alexandria via LeMat-Bulk).

## Properties
ΔE_f, eV per formula unit: 0.0

a b c (Å): 3.1964 3.1964 8.9168
angles (deg): 90.00 90.00 90.00
Space group P4/mmm (No. 123)
Inequivalent atoms, fractional coordinates:
Eu  0.0000  0.0000  0.0000 x1
Sc  0.5000  0.5000  0.3339 x2
Fe  0.0000  0.0000  0.5000 x1

# VSnW

A geometry-optimized VSnW structure (PBE, Alexandria via LeMat-Bulk).

## Properties
ΔE_f, eV per formula unit: 0.0

a b c (Å): 3.1932 3.1932 21.4698
angles (deg): 90.00 90.00 90.00
Space group I4/mmm (No. 139)
Inequivalent atoms, fractional coordinates:
V  0.0000  0.0000  0.1476 x4
Sn  0.0000  0.0000  0.4323 x4
W  0.0000  0.0000  0.2872 x4

Q: Look up the ΔE_f of the first one.
A: 0.0 eV per formula unit

Q: Look up the ΔE_f of the second one.
A: 0.0 eV per formula unit

Q: Look up the ΔE_f of the second one.
A: 0.0 eV per formula unit